An optimized crystal structure of YCuRe2, computed with PBE-GGA.

Cell: 3.2943 3.2943 6.5221 Å, 90.00 90.00 90.00°
Closest atoms and distances in Å follow each position.
Fractional positions:
Y1 0.0000 0.0000 0.0000  8 Re 3.12, 2 Cu 3.26, 4 Y 3.29
Cu1 0.0000 0.0000 0.5000  8 Re 2.61
Re1 0.5000 0.5000 0.3186  1 Re 2.37, 4 Cu 2.61
Re2 0.5000 0.5000 0.6814  1 Re 2.37, 4 Cu 2.61

## Properties
The calculated formation energy is 40 kJ/mol of atoms. Its density of states at the Fermi level is 1.343 states/eV/cell. The value obtained for the distance to the lowest polymorph of the same formula is 335 meV/atom.

***

An optimized crystal structure of Ac12DyRu7, computed with PBE-GGA.

Cell: 9.3635 9.3635 9.3635 Å, 107.39 107.39 107.39°
Closest atoms and distances in Å follow each position.
Fractional positions:
Ac1 0.0517 0.3461 0.1264  3 Ru 2.85-3.10
Ac2 0.1264 0.0517 0.3461  3 Ru 2.85-3.10
Ac3 0.1815 0.7206 0.5739  3 Ru 2.82-2.96
Ac4 0.2794 0.4261 0.8185  3 Ru 2.82-2.96
Ac5 0.3461 0.1264 0.0517  3 Ru 2.85-3.10
Ac6 0.4261 0.8185 0.2794  3 Ru 2.82-2.96
Ac7 0.5739 0.1815 0.7206  3 Ru 2.82-2.96
Ac8 0.6539 0.8736 0.9483  3 Ru 2.85-3.10
Ac9 0.7206 0.5739 0.1815  3 Ru 2.82-2.96
Ac10 0.8185 0.2794 0.4261  3 Ru 2.82-2.96
Ac11 0.8736 0.9483 0.6539  3 Ru 2.85-3.10
Ac12 0.9483 0.6539 0.8736  3 Ru 2.85-3.10
Dy1 0.5000 0.5000 0.5000  6 Ru 3.04
Ru1 0.0000 0.0000 0.0000  6 Ac 2.93
Ru2 0.1547 0.3793 0.4858  5 Ac 2.82-3.10, 1 Dy 3.04
Ru3 0.3793 0.4858 0.1547  5 Ac 2.82-3.10, 1 Dy 3.04
Ru4 0.4858 0.1547 0.3793  5 Ac 2.82-3.10, 1 Dy 3.04
Ru5 0.5142 0.8453 0.6207  5 Ac 2.82-3.10, 1 Dy 3.04
Ru6 0.6207 0.5142 0.8453  5 Ac 2.82-3.10, 1 Dy 3.04
Ru7 0.8453 0.6207 0.5142  5 Ac 2.82-3.10, 1 Dy 3.04

## Properties
The calculated formation energy is -15 kJ/mol of atoms. Its density of states at the Fermi level is 10.953 states/eV/cell.

***

An optimized crystal structure of TbZnPdPt, computed with PBE-GGA.

Cell: 4.4287 4.4287 5.1638 Å, 115.31 115.31 59.95°
Closest atoms and distances in Å follow each position.
Fractional positions:
Tb1 0.0000 0.0000 0.0000  4 Pd 2.92-3.00, 4 Pt 2.94-2.99
Zn1 0.4941 0.4941 0.4828  3 Pt 2.63, 3 Pd 2.66-2.67
Pd1 0.2167 0.2167 0.6506  3 Zn 2.66-2.67, 3 Pt 2.90-2.91, 1 Tb 2.92
Pt1 0.7814 0.7814 0.3444  3 Zn 2.63, 3 Pd 2.90-2.91, 1 Tb 2.94

## Properties
The calculated formation energy is -82 kJ/mol of atoms. Its density of states at the Fermi level is 1.431 states/eV/cell.